Here is a relaxed BaInRh crystal from Alexandria. Energies are from PBE.

Unit cell a=7.397 b=7.397 c=7.397 alpha=90.00 beta=90.00 gamma=90.00
Space group F-43m (No. 216)
Asymmetric unit:
Ba (0.000, 0.000, 0.000)
In (0.250, 0.250, 0.250)
Rh (0.250, 0.250, 0.750)

Values from the calculation:
ρ	5.83	g cm⁻³
crystal system	cubic
DFT total energy	-3.398	eV per atom


Here is a relaxed Ca6Hg5Sb crystal from Alexandria. Energies are from PBE.

Unit cell a=5.387 b=7.581 c=16.199 alpha=90.00 beta=90.00 gamma=90.00
Space group Immm (No. 71)
Asymmetric unit:
Ca (0.000, 0.249, 0.000)
Ca (0.000, 0.250, 0.333)
Hg (0.000, 0.000, 0.166)
Hg (0.000, 0.500, 0.174)
Hg (0.000, 0.500, 0.500)
Sb (0.000, 0.000, 0.500)

Values from the calculation:
ρ	6.85	g cm⁻³
crystal system	orthorhombic
DFT total energy	-2.106	eV per atom
E_form (uncorrected)	-0.636	eV per atom


Here is a relaxed Rb4PuPa3Se8 crystal from Alexandria. Energies are from PBE.

Unit cell a=8.4595 b=8.4595 c=24.3898 alpha=90.00 beta=90.00 gamma=120.00
Space group R-3m (No. 166, hexagonal axes)
Asymmetric unit:
Rb (0.0000, 0.0000, 0.0000)
Rb (0.0000, 0.5000, 0.0000)
Pu (0.0000, 0.0000, 0.5000)
Pa (0.0000, 0.5000, 0.5000)
Se (0.0000, 0.0000, 0.2338)
Se (0.0058, 0.5029, 0.7666)

Values from the calculation:
ρ	6.30	g cm⁻³
crystal system	trigonal
DFT total energy	-6.007	eV per atom
E_form (uncorrected)	-1.346	eV per atom


Here is a relaxed Ac4Cd3N2 crystal from Alexandria. Energies are from PBE.

Unit cell a=13.646 b=4.148 c=10.245 alpha=90.00 beta=106.15 gamma=90.00
Space group C2/m (No. 12)
Asymmetric unit:
Ac (0.129, 0.000, 0.443)
Ac (0.215, 0.500, 0.155)
Cd (0.000, 0.000, 0.000)
Cd (0.064, 0.500, 0.797)
N (0.206, 0.500, 0.378)

Values from the calculation:
ρ	7.59	g cm⁻³
crystal system	monoclinic
DFT total energy	-4.595	eV per atom
E_form (uncorrected)	-0.614	eV per atom